## MnBiOsO6 (GGA+U)

Data for a geometry-optimized MnBiOsO6 structure.

Lattice parameters (Å, degrees): 4.895 4.895 9.917 90.00 90.00 90.00
Last column: magnetic moment on the atom in μB.
Element x y z (fractional)
Mn: 0.500 0.500 0.166  4.54
Mn: 0.000 0.000 0.666  4.54
Bi: 0.500 0.500 0.499  -0.01
Bi: 0.000 0.000 0.999  -0.01
Os: 0.500 0.500 0.832  -0.39
Os: 0.000 0.000 0.332  -0.39
O: 0.177 0.823 0.484  -0.01
O: 0.823 0.177 0.484  -0.01
O: 0.323 0.323 0.984  -0.01
O: 0.677 0.677 0.984  -0.01
O: 0.192 0.808 0.192  -0.02
O: 0.808 0.192 0.192  -0.02
O: 0.308 0.308 0.692  -0.02
O: 0.692 0.692 0.692  -0.02
O: 0.775 0.225 0.826  0.01
O: 0.225 0.775 0.826  0.01
O: 0.725 0.725 0.326  0.01
O: 0.275 0.275 0.326  0.01

Output
total magnetic moment: 4.23 μB per formula unit
density: 7.69 Mg/m³
space-group type: No. 102
energy: -126.0 eV/cell